No. 1
Lu2TePb | PBE-GGA | optimized geometry

The structure in POSCAR format:
```
Lu2TePb
1.0
3.652 0.000 0.000
0.000 3.652 0.000
0.000 0.000 8.028
Lu Te Pb
2 1 1
direct
0.000 0.000 0.235
0.000 0.000 0.765
0.500 0.500 0.000
0.500 0.500 0.500
```

Values from the calculation:
- crystal system = tetragonal
- ΔE_f (raw) (eV/atom) = -0.640
- space group = No. 123

---

No. 2
Lu2TePb | PBE-GGA | optimized geometry

The structure in POSCAR format:
```
Lu2TePb
1.0
2.179 1.258 7.099
-2.179 1.258 7.099
0.000 -2.516 7.099
Lu Te Pb
2 1 1
direct
0.245 0.245 0.245
0.755 0.755 0.755
0.000 0.000 0.000
0.500 0.500 0.500
```

Values from the calculation:
- crystal system = trigonal
- ΔE_f (raw) (eV/atom) = -0.797
- space group = No. 166

---

| no. | density of states at the Fermi level (states/eV/cell) | V (Å³/cell) |
| --- | --- | --- |
| 1 | 2.85 | 107.1 |
| 2 | 0.81 | 116.7 |